w.
Entry from Alexandria via LeMat-Bulk: a relaxed Pm2TmCd2 crystal (PBE-GGA).

abc: 5.003 6.963 8.345
angles: 90.00 90.00 90.00
Space group Immm (No. 71)
One atom of each set of equivalent atoms:
Pm (0.000, 0.000, 0.196)
Tm (0.000, 0.500, 0.000)
Cd (0.000, 0.287, 0.500)

magnetization	0.000	Bohr magnetons per cell

x.
Entry from Alexandria via LeMat-Bulk: a relaxed Pm2TmCd2 crystal (PBE-GGA).

abc: 3.742 5.351 14.219
angles: 90.00 97.55 90.00
Space group P2_1/m (No. 11)
One atom of each set of equivalent atoms:
Pm (0.044, 0.250, 0.088)
Pm (0.234, 0.250, 0.469)
Tm (0.150, 0.750, 0.300)
Cd (0.361, 0.750, 0.722)
Cd (0.442, 0.250, 0.884)

magnetization	0.361	Bohr magnetons per cell

Name the least stable of them. w.

w.
Entry from Alexandria via LeMat-Bulk: a relaxed Pm6TmCd crystal (PBE-GGA).

abc: 6.898 11.834 6.445
angles: 90.00 97.37 90.00
Space group C2/m (No. 12)
One atom of each set of equivalent atoms:
Pm (0.044, 0.000, 0.257)
Pm (0.162, 0.260, 0.744)
Tm (0.000, 0.500, 0.000)
Cd (0.000, 0.500, 0.500)

magnetization	0.000	Bohr magnetons per cell

x.
Entry from Alexandria via LeMat-Bulk: a relaxed Pm6TmCd crystal (PBE-GGA).

abc: 4.995 4.995 10.206
angles: 90.00 90.00 90.00
Space group P4/mmm (No. 123)
One atom of each set of equivalent atoms:
Pm (0.000, 0.000, 0.000)
Pm (0.000, 0.000, 0.500)
Pm (0.000, 0.500, 0.246)
Tm (0.500, 0.500, 0.500)
Cd (0.500, 0.500, 0.000)

magnetization	0.000	Bohr magnetons per cell

Name the least stable of them. w.

w.
Entry from Alexandria via LeMat-Bulk: a relaxed Pm4YCd crystal (PBE-GGA).

abc: 5.677 21.004 6.549
angles: 90.00 90.00 90.00
Space group Cmc2_1 (No. 36)
One atom of each set of equivalent atoms:
Pm (0.000, 0.040, 0.000)
Pm (0.000, 0.184, 0.829)
Pm (0.000, 0.252, 0.287)
Pm (0.000, 0.439, 0.181)
Y (0.000, 0.365, 0.686)
Cd (0.000, 0.106, 0.430)

magnetization	0.000	Bohr magnetons per cell

x.
Entry from Alexandria via LeMat-Bulk: a relaxed Pm4YCd crystal (PBE-GGA).

abc: 3.663 3.663 14.298
angles: 90.00 90.00 90.00
Space group P4/mmm (No. 123)
One atom of each set of equivalent atoms:
Pm (0.000, 0.000, 0.146)
Pm (0.500, 0.500, 0.323)
Y (0.000, 0.000, 0.500)
Cd (0.500, 0.500, 0.000)

magnetization	0.000	Bohr magnetons per cell

Name the least stable of them. w.

w.
Entry from Alexandria via LeMat-Bulk: a relaxed PmY3Cd crystal (PBE-GGA).

abc: 13.043 3.716 12.698
angles: 90.00 93.14 90.00
Space group C2/m (No. 12)
One atom of each set of equivalent atoms:
Pm (0.233, 0.000, 0.252)
Y (0.036, 0.000, 0.689)
Y (0.135, 0.500, 0.477)
Y (0.144, 0.000, 0.949)
Cd (0.055, 0.500, 0.128)

magnetization	0.315	Bohr magnetons per cell

x.
Entry from Alexandria via LeMat-Bulk: a relaxed PmY3Cd crystal (PBE-GGA).

abc: 5.251 16.621 6.996
angles: 90.00 90.00 90.00
Space group Cmcm (No. 63)
One atom of each set of equivalent atoms:
Pm (0.000, 0.007, 0.250)
Y (0.000, 0.206, 0.750)
Y (0.000, 0.389, 0.004)
Cd (0.000, 0.200, 0.250)

magnetization	0.000	Bohr magnetons per cell

Name the least stable of them. x.

w.
Entry from Alexandria via LeMat-Bulk: a relaxed PmY4Cd crystal (PBE-GGA).

abc: 10.535 6.141 11.801
angles: 90.00 106.44 90.00
Space group C2/c (No. 15)
One atom of each set of equivalent atoms:
Pm (0.250, 0.250, 0.000)
Y (0.080, 0.244, 0.502)
Y (0.166, 0.418, 0.251)
Cd (0.000, 0.077, 0.750)

magnetization	0.000	Bohr magnetons per cell

x.
Entry from Alexandria via LeMat-Bulk: a relaxed PmY4Cd crystal (PBE-GGA).

abc: 3.614 3.614 14.184
angles: 90.00 90.00 90.00
Space group P4/mmm (No. 123)
One atom of each set of equivalent atoms:
Pm (0.000, 0.000, 0.000)
Y (0.000, 0.000, 0.357)
Y (0.500, 0.500, 0.178)
Cd (0.500, 0.500, 0.500)

magnetization	0.000	Bohr magnetons per cell

Name the least stable of them. w.

w.
Entry from Alexandria via LeMat-Bulk: a relaxed Pm3YCd2 crystal (PBE-GGA).

abc: 5.351 9.648 6.960
angles: 90.00 90.00 90.00
Space group Pmc2_1 (No. 26)
One atom of each set of equivalent atoms:
Pm (0.000, 0.045, 0.000)
Pm (0.000, 0.326, 0.330)
Pm (0.500, 0.178, 0.699)
Y (0.500, 0.456, 0.033)
Cd (0.000, 0.352, 0.794)
Cd (0.500, 0.153, 0.238)

magnetization	0.000	Bohr magnetons per cell

x.
Entry from Alexandria via LeMat-Bulk: a relaxed Pm3YCd2 crystal (PBE-GGA).

abc: 4.922 14.727 4.841
angles: 90.00 90.00 90.00
Space group Cmmm (No. 65)
One atom of each set of equivalent atoms:
Pm (0.000, 0.000, 0.000)
Pm (0.000, 0.327, 0.000)
Y (0.000, 0.500, 0.500)
Cd (0.000, 0.165, 0.500)

magnetization	0.000	Bohr magnetons per cell

Name the least stable of them. x.

w.
Entry from Alexandria via LeMat-Bulk: a relaxed PmY2Cd2 crystal (PBE-GGA).

abc: 3.759 5.426 13.985
angles: 90.00 97.73 90.00
Space group P2_1/m (No. 11)
One atom of each set of equivalent atoms:
Pm (0.149, 0.250, 0.295)
Y (0.047, 0.750, 0.093)
Y (0.236, 0.750, 0.472)
Cd (0.358, 0.250, 0.717)
Cd (0.451, 0.750, 0.903)

magnetization	0.000	Bohr magnetons per cell

x.
Entry from Alexandria via LeMat-Bulk: a relaxed PmY2Cd2 crystal (PBE-GGA).

abc: 5.079 6.920 8.250
angles: 90.00 90.00 90.00
Space group Immm (No. 71)
One atom of each set of equivalent atoms:
Pm (0.000, 0.000, 0.000)
Y (0.000, 0.500, 0.199)
Cd (0.000, 0.206, 0.500)

magnetization	0.003	Bohr magnetons per cell

Name the least stable of them. x.

w.
Entry from Alexandria via LeMat-Bulk: a relaxed Pm2ZnCd crystal (PBE-GGA).

abc: 3.711 3.711 7.610
angles: 90.00 90.00 90.00
Space group P4/mmm (No. 123)
One atom of each set of equivalent atoms:
Pm (0.000, 0.000, 0.230)
Zn (0.500, 0.500, 0.000)
Cd (0.500, 0.500, 0.500)

magnetization	0.000	Bohr magnetons per cell

x.
Entry from Alexandria via LeMat-Bulk: a relaxed Pm2ZnCd crystal (PBE-GGA).

abc: 7.503 7.503 7.503
angles: 90.00 90.00 90.00
Space group Fm-3m (No. 225)
One atom of each set of equivalent atoms:
Pm (0.250, 0.250, 0.250)
Zn (0.000, 0.000, 0.000)
Cd (0.000, 0.000, 0.500)

magnetization	0.064	Bohr magnetons per cell

Name the least stable of them. x.